DFT (PBE-GGA) results for a relaxed Ba2CrSe crystal.

Calculated values
volume	39.13	A^3/atom
total energy	-17.65	eV per cell

```
data_Ba2CrSe
_cell_length_a 4.135
_cell_length_b 4.135
_cell_length_c 9.153
_cell_angle_alpha 90.00
_cell_angle_beta 90.00
_cell_angle_gamma 90.00
_symmetry_space_group_name_H-M 'P 4 m m'
_symmetry_Int_Tables_number 99
_symmetry_space_group_name_Hall 'P 4 -2'
loop_
_atom_site_label
_atom_site_type_symbol
_atom_site_fract_x
_atom_site_fract_y
_atom_site_fract_z
Ba1 Ba 0.000 0.000 0.000
Ba2 Ba 0.500 0.500 0.444
Cr1 Cr 0.000 0.000 0.650
Se1 Se 0.500 0.500 0.815
```